[1]
Entry from the Alexandria database: crystalline AgMoPRh2 at its relaxed geometry (PBE-GGA).

Calculated values
Total magnetic moment ... 0.00 μB per cell
N(E_F) ... 4.943 states/eV/cell
Energy of formation ... 0.2893 eV per atom

Lattice parameters (Å, degrees): 4.372 4.372 4.484 90.00 90.00 90.00
Fractional positions:
Ag  0.000  0.000  0.000
Mo  0.500  0.500  0.000
P  0.500  0.500  0.500
Rh  0.000  0.500  0.500
Rh  0.500  0.000  0.500

[2]
Entry from the Alexandria database: crystalline ScTlHI2 at its relaxed geometry (PBE-GGA).

Calculated values
Total magnetic moment ... 1.75 μB per cell
Total DFT energy (no corrections) ... -12.00 eV per formula unit
N(E_F) ... 5.746 states/eV/cell

Lattice parameters (Å, degrees): 6.430 6.430 5.683 90.00 90.00 90.00
Fractional positions:
Sc  0.000  0.000  0.000
Tl  0.000  0.000  0.500
H  0.500  0.500  0.000
I  0.000  0.500  0.500
I  0.500  0.000  0.500